Tc2SbAs: relaxed, PBE.

The space group is I-42d (No. 122) and the conventional cell measures 5.803, 5.803 and 11.264 Å, with angles of 90.00, 90.00 and 90.00 degrees. The asymmetric unit holds Tc at (0.220, 0.250, 0.125), Sb at (0.000, 0.000, 0.500) and As at (0.000, 0.000, 0.000).

For the energy above the most stable polymorph in this dataset, the calculation gives 645 meV/atom. The formation energy (no corrections) comes out at 2.61 eV/f.u. The final energy comes out at -6.724 eV per atom.